First-principles (PBEsol) data for an optimized crystal structure of ReHgN2, as listed in Alexandria via LeMat-Bulk.

Lattice parameters (Å, degrees): 5.9715 5.9715 5.9715 60.00 60.00 60.00
Fractional coordinates of all 8 atoms:
Re  0.1250  0.1250  0.1250
Re  0.8750  0.8750  0.8750
Hg  0.3750  0.3750  0.3750
Hg  0.6250  0.6250  0.6250
N  0.0000  0.0000  0.0000
N  0.0000  0.0000  0.5000
N  0.0000  0.5000  0.0000
N  0.5000  0.0000  0.0000

Results
Space-group type   Fd-3m (227)
Total DFT energy (no corrections)   -7.598 eV per atom
Formation energy from raw total energies   0.56 eV/f.u.